[1]
Density functional theory data (PBE) for SrCa2SiH after structural relaxation.

abc: 4.892 4.892 4.938
angles: 90.00 90.00 90.00
Element x y z (fractional)
Sr1 0.000 0.000 0.000
Ca1 0.000 0.500 0.500
Ca2 0.500 0.000 0.500
Si1 0.500 0.500 0.000
H1 0.000 0.000 0.500

Computed properties:
Total energy ... -15.7 eV/cell

[2]
Density functional theory data (PBE) for BaSn after structural relaxation.

abc: 6.132 6.132 7.144
angles: 90.00 90.00 120.00
Element x y z (fractional)
Ba1 0.333 0.667 0.250
Ba2 0.667 0.333 0.750
Sn1 0.333 0.667 0.750
Sn2 0.667 0.333 0.250

Computed properties:
DFT formation energy ... 0.04 eV/atom

[3]
Density functional theory data (PBE) for Ce6SnIr2 after structural relaxation.

abc: 5.819 5.819 9.082
angles: 91.37 91.37 46.93
Element x y z (fractional)
Ce1 0.078 0.078 0.359
Ce2 0.290 0.290 0.905
Ce3 0.408 0.408 0.322
Ce4 0.592 0.592 0.678
Ce5 0.710 0.710 0.095
Ce6 0.922 0.922 0.641
Sn1 0.000 0.000 0.000
Ir1 0.255 0.255 0.612
Ir2 0.745 0.745 0.388

Computed properties:
DFT formation energy ... -0.54 eV/atom

[4]
Density functional theory data (PBE) for TbMg2Pb4 after structural relaxation.

abc: 6.523 6.523 4.881
angles: 90.00 90.00 103.05
Element x y z (fractional)
Tb1 0.000 0.000 0.000
Mg1 0.237 0.763 0.500
Mg2 0.763 0.237 0.500
Pb1 0.000 0.500 0.000
Pb2 0.287 0.287 0.500
Pb3 0.500 0.000 0.000
Pb4 0.713 0.713 0.500

Computed properties:
DFT formation energy ... -0.15 eV/atom

no.,D(E_F) (states/eV per atom)
1,0.410
2,1.449
3,2.268
4,0.465